Record 1
{
  "formula": "K2HgMo",
  "functional": "PBE",
  "state": "relaxed",
  "formation_energy_mev_per_atom": 892,
  "cell": [[-3.5996, -2.1030, -5.9235], [1.6724, -6.2198, -3.3143], [-2.3986, 3.6594, 5.7726]],
  "species": ["Hg", "K", "K", "Mo"],
  "frac_coords": [[0.2826, 0.7826, 0.5000], [0.0308, 0.0308, 0.0000], [0.7309, 0.2309, 0.5000], [0.4556, 0.4556, 0.0000]]
}

***

Record 2
{
  "formula": "NaSmTlRh",
  "functional": "PBE",
  "state": "relaxed",
  "formation_energy_mev_per_atom": -183,
  "cell": [[4.9755, 0.0000, 0.0000], [2.4877, 4.3089, 0.0000], [2.4877, 1.4363, 4.0625]],
  "species": ["Na", "Tl", "Rh", "Sm"],
  "frac_coords": [[0.0000, 0.0000, 0.0000], [0.2500, 0.2500, 0.2500], [0.5000, 0.5000, 0.5000], [0.7500, 0.7500, 0.7500]]
}

***

Record 3
{
  "formula": "Tb2PrEr2Mg",
  "functional": "PBE",
  "state": "relaxed",
  "formation_energy_mev_per_atom": 101,
  "cell": [[-2.0005, 2.7587, 1.3467], [-4.4307, -1.8759, -2.7390], [-4.6282, -10.5325, 14.7002]],
  "species": ["Tb", "Tb", "Tb", "Tb", "Pr", "Pr", "Er", "Er", "Er", "Er", "Mg", "Mg"],
  "frac_coords": [[0.5000, 0.0020, 0.1850], [0.0000, 0.5020, 0.3150], [0.5000, 0.9980, 0.8150], [0.0000, 0.4980, 0.6850], [0.0000, 0.0000, 0.0000], [0.5000, 0.5000, 0.5000], [0.5000, 0.0018, 0.3657], [0.5000, 0.9982, 0.6343], [0.0000, 0.4982, 0.8657], [0.0000, 0.5018, 0.1343], [0.5000, 0.5000, 0.0000], [0.0000, 0.0000, 0.5000]]
}

***

Record 4
{
  "formula": "SrY2Ru",
  "functional": "PBE",
  "state": "relaxed",
  "formation_energy_mev_per_atom": 376,
  "e_above_lowest_polymorph_mev_per_atom": 532.3,
  "cell": [[6.1218, 0.0033, 0.0000], [2.8246, 5.4312, 0.0000], [-4.4732, -2.7173, 3.1755]],
  "species": ["Ru", "Sr", "Y", "Y"],
  "frac_coords": [[0.5000, 0.5000, 0.0000], [0.7500, 0.2500, 0.5000], [0.0000, 0.0000, 0.0000], [0.2500, 0.7500, 0.5000]]
}

***

Record 5
{
  "formula": "Tb2PS",
  "functional": "PBE",
  "state": "relaxed",
  "e_form_raw_ev_per_atom": -1.882,
  "e_above_lowest_polymorph_mev_per_atom": 0.0,
  "cell": [[3.9826, 0.0000, 0.0000], [0.0000, 5.6219, 0.0000], [0.0000, 0.0000, 7.9815]],
  "species": ["Tb", "Tb", "Tb", "Tb", "P", "P", "S", "S"],
  "frac_coords": [[0.0000, 0.0000, 0.8668], [0.0000, 0.0000, 0.3814], [0.5000, 0.5000, 0.6186], [0.5000, 0.5000, 0.1332], [0.5000, 0.0000, 0.6275], [0.0000, 0.5000, 0.3725], [0.0000, 0.5000, 0.8781], [0.5000, 0.0000, 0.1219]]
}

***

Record 6
{
  "formula": "PrLuAg4",
  "functional": "PBE",
  "state": "relaxed",
  "formation_energy_mev_per_atom": -157,
  "cell": [[-1.8550, -5.1357, -1.7668], [3.4855, -4.5525, 0.2523], [-0.9907, -4.1642, 3.8231]],
  "species": ["Pr", "Lu", "Ag", "Ag", "Ag", "Ag"],
  "frac_coords": [[0.0000, 0.0000, 0.0000], [0.2500, 0.2500, 0.2500], [0.6244, 0.6244, 0.1267], [0.6244, 0.1267, 0.6244], [0.6244, 0.6244, 0.6244], [0.1267, 0.6244, 0.6244]]
}

***

Record 7
{
  "formula": "Mn8Fe2Co",
  "functional": "PBE",
  "state": "relaxed",
  "formation_energy_mev_per_atom": 226,
  "cell": [[-3.4039, 3.3698, 0.9895], [-3.0716, -5.4344, -1.2817], [-1.1252, 1.2405, 4.6000]],
  "species": ["Mn", "Mn", "Mn", "Mn", "Mn", "Mn", "Mn", "Mn", "Fe", "Fe", "Co"],
  "frac_coords": [[0.6450, 0.6385, 0.1780], [0.8226, 0.3620, 0.3543], [0.1473, 0.7057, 0.1488], [0.8527, 0.2943, 0.8512], [0.1774, 0.6380, 0.6457], [0.3550, 0.3615, 0.8220], [0.3685, 0.0004, 0.3702], [0.6315, 0.9996, 0.6298], [0.2901, 0.2892, 0.2881], [0.7099, 0.7108, 0.7119], [0.0000, 0.0000, 0.0000]]
}

***

Record 8
{
  "formula": "Zn2Cd2Au",
  "functional": "PBE",
  "state": "relaxed",
  "formation_energy_mev_per_atom": 34,
  "e_above_lowest_polymorph_mev_per_atom": 44.2,
  "cell": [[-0.2571, 3.0923, -1.8015], [0.6925, -1.7290, -3.0667], [-7.2243, -0.5212, -3.4364]],
  "species": ["Zn", "Zn", "Au", "Cd", "Cd"],
  "frac_coords": [[0.7500, 0.2500, 0.5000], [0.2500, 0.7500, 0.5000], [0.0000, 0.0000, 0.0000], [0.4004, 0.4004, 0.1993], [0.5996, 0.5996, 0.8007]]
}

***

Record 9
{
  "formula": "SnSbAs",
  "functional": "PBE",
  "state": "relaxed",
  "e_form_raw_ev_per_atom": -0.015,
  "e_above_lowest_polymorph_mev_per_atom": 0.0,
  "cell": [[-2.8693, 1.2582, 2.7606], [-3.5309, -5.1459, -1.3247], [6.0930, -1.1818, 3.7134]],
  "species": ["Sn", "Sn", "Sb", "Sb", "As", "As"],
  "frac_coords": [[0.3220, 0.0865, 0.6440], [0.6780, 0.4425, 0.3560], [0.0000, 0.7327, 0.0000], [0.0000, 0.1871, 0.0000], [0.3345, 0.5286, 0.6690], [0.6655, 0.8596, 0.3310]]
}

***

Record 10
{
  "formula": "GaPHIrPtS",
  "functional": "PBE",
  "state": "relaxed",
  "e_above_lowest_polymorph_mev_per_atom": 17.1,
  "cell": [[-1.4305, -1.8930, -2.7298], [-0.0430, -3.7785, 2.6947], [-4.8780, 1.7584, 1.8846]],
  "species": ["Ga", "P", "H", "Ir", "Pt", "S"],
  "frac_coords": [[0.1554, 0.3741, 0.1610], [0.6775, 0.9088, 0.4122], [0.2613, 0.7894, 0.8623], [0.1939, 0.6468, 0.5505], [0.6369, 0.0520, 0.0099], [0.6921, 0.3151, 0.6456]]
}

***

Record 11
{
  "formula": "SrTc2P",
  "functional": "PBE",
  "state": "relaxed",
  "formation_energy_mev_per_atom": 699,
  "e_above_lowest_polymorph_mev_per_atom": 970.2,
  "cell": [[-0.5123, -2.3797, -3.0961], [3.2746, -1.9630, 0.9670], [-2.5289, -2.9104, 2.6554]],
  "species": ["Sr", "Tc", "Tc", "P"],
  "frac_coords": [[0.0000, 0.0000, 0.5000], [0.0000, 0.5000, 0.0000], [0.5000, 0.0000, 0.0000], [0.5000, 0.5000, 0.5000]]
}

***

Record 12
{
  "formula": "TiNb2F",
  "functional": "PBE",
  "state": "relaxed",
  "e_form_raw_ev_per_atom": 0.453,
  "e_above_lowest_polymorph_mev_per_atom": 162.0,
  "cell": [[-3.9850, 2.7706, 0.4094], [-2.7830, -3.8377, -1.1184], [-3.8123, -2.1027, 6.0951]],
  "species": ["Nb", "Nb", "Nb", "Nb", "F", "F", "Ti", "Ti"],
  "frac_coords": [[0.4956, 0.1250, 0.2500], [0.2544, 0.6250, 0.2500], [0.3750, 0.5044, 0.7500], [0.8750, 0.7456, 0.7500], [0.5000, 0.5000, 0.0000], [0.2500, 0.7500, 0.5000], [0.0000, 0.0000, 0.0000], [0.7500, 0.2500, 0.5000]]
}

***

Record 13
{
  "formula": "K2AgAs2",
  "functional": "PBE",
  "state": "relaxed",
  "formation_energy_mev_per_atom": 245,
  "e_above_lowest_polymorph_mev_per_atom": 504.5,
  "cell": [[10.3756, 0.0000, 0.0000], [0.0000, 10.3756, 0.0000], [0.0000, 0.0000, 2.7716]],
  "species": ["As", "As", "As", "As", "K", "K", "K", "K", "Ag", "Ag"],
  "frac_coords": [[0.1558, 0.6558, 0.5000], [0.6558, 0.8442, 0.5000], [0.8442, 0.3442, 0.5000], [0.3442, 0.1558, 0.5000], [0.3580, 0.8580, 0.0000], [0.8580, 0.6420, 0.0000], [0.6420, 0.1420, 0.0000], [0.1420, 0.3580, 0.0000], [0.0000, 0.0000, 0.0000], [0.5000, 0.5000, 0.0000]]
}

***

Record 14
{
  "formula": "Sr2In2Pb",
  "functional": "PBE",
  "state": "relaxed",
  "formation_energy_mev_per_atom": -55,
  "e_above_lowest_polymorph_mev_per_atom": 355.0,
  "cell": [[5.2715, 0.0000, 0.0000], [0.0000, 5.2715, 0.0000], [2.6358, 2.6358, 6.8147]],
  "species": ["Pb", "Sr", "Sr", "In", "In"],
  "frac_coords": [[0.0000, 0.0000, 0.0000], [0.7500, 0.2500, 0.5000], [0.2500, 0.7500, 0.5000], [0.4021, 0.4021, 0.1958], [0.5979, 0.5979, 0.8042]]
}

***

Record 15
{
  "formula": "Tb2MnGePt6",
  "functional": "PBE",
  "state": "relaxed",
  "formation_energy_mev_per_atom": -735,
  "cell": [[-0.8028, -5.2811, -1.6101], [8.2072, -1.4949, 0.8045], [5.3525, -5.0039, 4.0704]],
  "species": ["Tb", "Tb", "Mn", "Ge", "Pt", "Pt", "Pt", "Pt", "Pt", "Pt"],
  "frac_coords": [[0.7017, 0.2984, 0.5969], [0.2983, 0.7016, 0.4031], [0.0000, 0.0000, 0.0000], [0.5000, 0.5000, 0.0000], [0.2497, 0.2468, 0.5010], [0.7534, 0.7504, 0.9973], [0.2497, 0.7505, 0.9974], [0.7503, 0.2495, 0.0026], [0.2466, 0.2496, 0.0027], [0.7503, 0.7532, 0.4990]]
}

***

Record 16
{
  "formula": "TbSmDyAg",
  "functional": "PBE",
  "state": "relaxed",
  "formation_energy_mev_per_atom": 67,
  "e_above_lowest_polymorph_mev_per_atom": 199.4,
  "cell": [[5.4189, 0.0000, 0.0000], [2.7094, 4.6929, 0.0000], [2.7094, 1.5643, 4.4245]],
  "species": ["Tb", "Ag", "Sm", "Dy"],
  "frac_coords": [[0.0000, 0.0000, 0.0000], [0.2500, 0.2500, 0.2500], [0.5000, 0.5000, 0.5000], [0.7500, 0.7500, 0.7500]]
}

***

Record 17
{
  "formula": "Gd2CdCu",
  "functional": "PBE",
  "state": "relaxed",
  "formation_energy_mev_per_atom": -216,
  "e_above_lowest_polymorph_mev_per_atom": 47.6,
  "cell": [[5.1757, 0.0000, 0.0000], [2.5879, 4.4823, 0.0000], [2.5879, 1.4941, 4.2260]],
  "species": ["Gd", "Gd", "Cu", "Cd"],
  "frac_coords": [[0.2500, 0.2500, 0.2500], [0.7500, 0.7500, 0.7500], [0.0000, 0.0000, 0.0000], [0.5000, 0.5000, 0.5000]]
}

***

Record 18
{
  "formula": "Cd2SnPb5",
  "functional": "PBE",
  "state": "relaxed",
  "formation_energy_mev_per_atom": 57,
  "cell": [[-6.4424, -1.5307, 1.5536], [3.0310, -2.9785, 5.3107], [1.3121, 6.6317, -0.7528]],
  "species": ["Cd", "Cd", "Sn", "Pb", "Pb", "Pb", "Pb", "Pb"],
  "frac_coords": [[0.2777, 0.7780, 0.4999], [0.7778, 0.2781, 0.5001], [0.7784, 0.7781, 0.0000], [0.2779, 0.2781, 0.5003], [0.2781, 0.7776, 0.0000], [0.7778, 0.2779, 0.0000], [0.7776, 0.7778, 0.4997], [0.2777, 0.2774, 0.0000]]
}

***

Record 19
{
  "formula": "Er2AlPt",
  "functional": "PBE",
  "state": "relaxed",
  "formation_energy_mev_per_atom": -59,
  "e_above_lowest_polymorph_mev_per_atom": 806.0,
  "cell": [[-2.2674, -2.1023, 1.1544], [-1.7493, -1.8549, -2.0958], [5.5740, -8.4688, 0.2439]],
  "species": ["Al", "Pt", "Er", "Er"],
  "frac_coords": [[0.5000, 0.5000, 0.5000], [0.0000, 0.0000, 0.0000], [0.0875, 0.0875, 0.7374], [0.9125, 0.9125, 0.2626]]
}

***

Record 20
{
  "formula": "YBeCuIr2",
  "functional": "PBE",
  "state": "relaxed",
  "formation_energy_mev_per_atom": -407,
  "cell": [[4.3040, 0.0000, 0.0000], [0.0000, 4.3040, 0.0000], [0.0000, 0.0000, 4.1470]],
  "species": ["Y", "Be", "Ir", "Ir", "Cu"],
  "frac_coords": [[0.5000, 0.5000, 0.5000], [0.0000, 0.0000, 0.0000], [0.0000, 0.5000, 0.0000], [0.5000, 0.0000, 0.0000], [0.0000, 0.0000, 0.5000]]
}

***

Number 1: DOS(E_F) 2.8 states/eV per cell. Number 2: DOS(E_F) 5.0 states/eV per cell. Number 3: DOS(E_F) 17.6 states/eV per cell. Number 4: DOS(E_F) 3.1 states/eV per cell. Number 5: DOS(E_F) 2.1 states/eV per cell. Number 6: DOS(E_F) 4.7 states/eV per cell. Number 7: DOS(E_F) 13.6 states/eV per cell. Number 8: DOS(E_F) 1.4 states/eV per cell. Number 9: DOS(E_F) 1.2 states/eV per cell. Number 10: DOS(E_F) 0.3 states/eV per cell. Number 11: DOS(E_F) 4.5 states/eV per cell. Number 12: DOS(E_F) 9.8 states/eV per cell. Number 13: DOS(E_F) 7.5 states/eV per cell. Number 14: DOS(E_F) 2.3 states/eV per cell. Number 15: DOS(E_F) 3.2 states/eV per cell. Number 16: DOS(E_F) 4.4 states/eV per cell. Number 17: DOS(E_F) 4.7 states/eV per cell. Number 18: DOS(E_F) 4.2 states/eV per cell. Number 19: DOS(E_F) 1.8 states/eV per cell. Number 20: DOS(E_F) 0.9 states/eV per cell.